# 1
A relaxed structure of In15HgPb4, computed with PBE.

Structure (POSCAR):
```
In15HgPb4
1.0
-4.2521 2.9896 -1.1366
-3.1982 -3.9496 1.5757
0.1556 7.2580 18.5084
In Hg Pb
15 1 4
Direct
0.5000 0.5000 0.0000
0.5000 0.5000 0.1949
0.5000 0.5000 0.3967
0.5000 0.5000 0.6033
0.5000 0.5000 0.8051
0.5000 0.0000 0.0926
0.5000 0.0000 0.2969
0.5000 0.0000 0.5000
0.5000 0.0000 0.7031
0.5000 0.0000 0.9074
0.0000 0.5000 0.0926
0.0000 0.5000 0.2969
0.0000 0.5000 0.5000
0.0000 0.5000 0.7031
0.0000 0.5000 0.9074
0.0000 0.0000 0.0000
0.0000 0.0000 0.1966
0.0000 0.0000 0.3991
0.0000 0.0000 0.6009
0.0000 0.0000 0.8034
```

Computed properties:
Electronic total energy in eV/cell: -55.74

=====

# 2
A relaxed structure of Tb2Ga5Pt3, computed with PBE.

Structure (POSCAR):
```
Tb2Ga5Pt3
1.0
-0.4526 -0.1560 4.3282
-6.2716 -2.4995 -0.7459
4.8309 -11.4950 -2.0997
Tb Ga Pt
4 10 6
Direct
0.4833 0.7518 0.9667
0.1747 0.7277 0.3494
0.8253 0.2277 0.6506
0.5167 0.2518 0.0333
0.3963 0.4106 0.7927
0.2923 0.5162 0.5845
0.7077 0.0162 0.4155
0.1229 0.2587 0.2457
0.2938 0.9234 0.5876
0.9488 0.0739 0.8976
0.7062 0.4234 0.4124
0.8771 0.7587 0.7543
0.0512 0.5739 0.1024
0.6037 0.9106 0.2073
0.7744 0.7177 0.5488
0.6062 0.5171 0.2123
0.0515 0.9677 0.1030
0.2256 0.2177 0.4512
0.9485 0.4677 0.8970
0.3938 0.0171 0.7877
```

Computed properties:
E above lowest polymorph in eV/atom: 0.000

=====

# 3
A relaxed structure of ThZr2Cu, computed with PBE.

Structure (POSCAR):
```
ThZr2Cu
1.0
5.0073 0.0000 0.0000
2.5037 4.3365 0.0000
2.5037 1.4455 4.0882
Cu Zr Th
1 2 1
Direct
0.5000 0.5000 0.5000
0.7500 0.7500 0.7501
0.2500 0.2500 0.2499
0.0000 0.0000 0.0000
```

Computed properties:
E above lowest polymorph in eV/atom: 0.271

=====

# 4
A relaxed structure of Ca2MnV, computed with PBE.

Structure (POSCAR):
```
Ca2MnV
1.0
0.0000 3.7240 3.7240
3.7240 0.0000 3.7240
3.7240 3.7240 0.0000
Ca Mn V
2 1 1
Direct
0.2500 0.2500 0.2500
0.7500 0.7500 0.7500
0.5000 0.5000 0.5000
0.0000 0.0000 0.0000
```

Computed properties:
E above lowest polymorph in eV/atom: 0.000

=====

# 5
A relaxed structure of AcLa6Tm12, computed with PBE.

Structure (POSCAR):
```
AcLa6Tm12
1.0
8.7153 -0.1856 -1.2250
-1.3833 8.6068 -1.2250
-0.1616 -0.1856 8.7995
Ac La Tm
1 6 12
Direct
0.0000 0.0000 0.0000
0.8979 0.3520 0.8979
0.8979 0.8979 0.3520
0.3520 0.8979 0.8979
0.1021 0.1021 0.6480
0.1021 0.6480 0.1021
0.6480 0.1021 0.1021
0.7545 0.2455 0.5000
0.3556 0.0783 0.3556
0.3556 0.3556 0.0783
0.9217 0.6444 0.6444
0.6444 0.6444 0.9217
0.6444 0.9217 0.6444
0.5000 0.7545 0.2455
0.2455 0.5000 0.7545
0.2455 0.7545 0.5000
0.5000 0.2455 0.7545
0.7545 0.5000 0.2455
0.0783 0.3556 0.3556
```

Computed properties:
Electronic total energy in eV/cell: -83.21

=====

# 6
A relaxed structure of ZrZn3Rh4, computed with PBE.

Structure (POSCAR):
```
ZrZn3Rh4
1.0
-1.3318 3.3088 -2.5524
-4.2756 0.5772 -0.7891
-2.3547 5.5051 4.5969
Zn Rh Zr
3 4 1
Direct
0.2495 0.2495 0.2516
0.7505 0.7505 0.7484
0.5000 0.5000 0.5000
0.8729 0.8729 0.3812
0.3780 0.3780 0.8660
0.1271 0.1271 0.6188
0.6220 0.6220 0.1340
0.0000 0.0000 0.0000
```

Computed properties:
Electronic total energy in eV/cell: -46.54

=====

# 7
A relaxed structure of SmYCI, computed with PBE.

Structure (POSCAR):
```
SmYCI
1.0
-0.6549 3.7463 -0.1307
-2.2324 -2.2498 2.1086
5.7536 -0.7446 5.2978
Sm Y C I
1 1 1 1
Direct
0.5212 0.1585 0.6947
0.0830 0.9394 0.0379
0.3097 0.5527 0.8781
0.9640 0.3801 0.3589
```

Computed properties:
Raw formation energy in eV/atom: -0.73

=====

# 8
A relaxed structure of TbPrYSe3, computed with PBE.

Structure (POSCAR):
```
TbPrYSe3
1.0
4.0496 0.0000 0.0000
0.0000 7.2244 -0.1765
0.0000 -2.1318 10.5472
Tb Pr Y Se
2 2 2 6
Direct
0.2500 0.7625 0.0581
0.7500 0.2375 0.9419
0.2500 0.3357 0.3020
0.7500 0.6643 0.6980
0.2500 0.1220 0.6304
0.7500 0.8780 0.3696
0.7500 0.0504 0.1537
0.2500 0.9496 0.8463
0.2500 0.7207 0.4993
0.7500 0.2793 0.5007
0.7500 0.5469 0.1641
0.2500 0.4531 0.8359
```

Computed properties:
Raw formation energy in eV/atom: -1.75

=====

# 9
A relaxed structure of CeMgSc2, computed with PBE.

Structure (POSCAR):
```
CeMgSc2
1.0
5.2310 0.0000 0.0000
2.6155 4.5302 0.0000
2.6155 1.5101 4.2711
Sc Mg Ce
2 1 1
Direct
0.2500 0.2500 0.2500
0.7500 0.7500 0.7500
0.5000 0.5000 0.5000
0.0000 0.0000 0.0000
```

Computed properties:
E above lowest polymorph in eV/atom: 0.129

=====

# 10
A relaxed structure of Cu4As2O9, computed with PBE.

Structure (POSCAR):
```
Cu4As2O9
1.0
-1.4164 2.7079 -5.6609
-2.4068 -7.3155 -1.7346
-5.6864 1.9064 5.8566
Cu As O
8 4 18
Direct
0.6382 0.3960 0.7552
0.1399 0.8780 0.0877
0.3431 0.8288 0.5503
0.1088 0.3472 0.7349
0.8601 0.1220 0.9123
0.3618 0.6040 0.2448
0.8912 0.6528 0.2651
0.6569 0.1712 0.4497
0.1358 0.2322 0.3502
0.5045 0.2900 0.0867
0.8642 0.7678 0.6498
0.4955 0.7100 0.9133
0.4899 0.8776 0.8048
0.3791 0.1735 0.4881
0.2276 0.3049 0.9709
0.7724 0.6951 0.0291
0.6191 0.4904 0.2461
0.6591 0.2762 0.9557
0.0060 0.9286 0.8445
0.3809 0.5096 0.7539
0.8093 0.2240 0.7051
0.9940 0.0714 0.1555
0.0288 0.7654 0.5239
0.1907 0.7760 0.2949
0.3409 0.7238 0.0443
0.5101 0.1224 0.1952
0.1727 0.4397 0.3167
0.8273 0.5603 0.6833
0.9712 0.2346 0.4761
0.6209 0.8265 0.5119
```

Computed properties:
Raw formation energy in eV/atom: -0.82
E above lowest polymorph in eV/atom: 0.004

=====

# 11
A relaxed structure of TaTiCu2, computed with PBE.

Structure (POSCAR):
```
TaTiCu2
1.0
-1.4468 -6.7222 1.5011
3.3328 -2.0256 -5.8587
3.0993 -4.5505 -0.8911
Ti Cu Ta
2 4 2
Direct
0.5000 0.5000 0.0000
0.2500 0.7500 0.5000
0.6196 0.1250 0.2500
0.1304 0.6250 0.2500
0.3750 0.3804 0.7500
0.8750 0.8696 0.7500
0.0000 0.0000 0.0000
0.7500 0.2500 0.5000
```

Computed properties:
E above lowest polymorph in eV/atom: 0.384

=====

# 12
A relaxed structure of HgSb2IF, computed with PBE.

Structure (POSCAR):
```
HgSb2IF
1.0
4.8170 0.0000 0.0000
0.0000 4.8170 0.0000
0.0000 0.0000 5.9755
I Sb Hg F
1 2 1 1
Direct
0.0000 0.0000 0.5000
0.0000 0.5000 0.0000
0.5000 0.0000 0.0000
0.5000 0.5000 0.5000
0.0000 0.0000 0.0000
```

Computed properties:
Raw formation energy in eV/atom: -0.04
E above lowest polymorph in eV/atom: 0.000

=====

# 13
A relaxed structure of AcHfSe2O, computed with PBE.

Structure (POSCAR):
```
AcHfSe2O
1.0
4.0138 0.0000 0.0000
0.0000 4.0138 0.0000
0.0000 0.0000 14.1572
Ac Hf Se O
2 2 4 2
Direct
0.5000 0.0000 0.5972
0.0000 0.5000 0.4028
0.5000 0.0000 0.0948
0.0000 0.5000 0.9052
0.0000 0.5000 0.7250
0.0000 0.5000 0.1008
0.5000 0.0000 0.8992
0.5000 0.0000 0.2750
0.0000 0.0000 0.5000
0.5000 0.5000 0.5000
```

Computed properties:
Raw formation energy in eV/atom: -2.02

=====

# 14
A relaxed structure of Tc3Ir2Os4, computed with PBE.

Structure (POSCAR):
```
Tc3Ir2Os4
1.0
4.7400 0.6325 0.1551
1.2714 7.9413 2.7530
-0.2326 -0.0056 7.0197
Tc Ir Os
6 4 8
Direct
0.1122 0.9436 0.6940
0.4444 0.2776 0.0303
0.8878 0.0564 0.3060
0.5556 0.7224 0.9697
0.2215 0.3877 0.6416
0.7785 0.6123 0.3584
0.2219 0.7226 0.4729
0.3324 0.5014 0.2482
0.7781 0.2774 0.5271
0.6676 0.4986 0.7518
0.5573 0.0533 0.8084
0.0010 0.1657 0.9169
0.4427 0.9467 0.1916
0.9990 0.8343 0.0831
0.6682 0.8354 0.5816
0.8919 0.3871 0.1391
0.3318 0.1646 0.4184
0.1081 0.6129 0.8609
```

Computed properties:
Electronic total energy in eV/cell: -189.69

=====

# 15
A relaxed structure of Zr2AlC, computed with PBE.

Structure (POSCAR):
```
Zr2AlC
1.0
0.0000 3.2176 3.2176
3.2176 0.0000 3.2176
3.2176 3.2176 0.0000
C Al Zr
1 1 2
Direct
0.0000 0.0000 0.0000
0.5000 0.5000 0.5000
0.2500 0.2500 0.2500
0.7500 0.7500 0.7500
```

Computed properties:
E above lowest polymorph in eV/atom: 1.289

=====

# 16
A relaxed structure of Sr2MnAs3Pt4, computed with PBE.

Structure (POSCAR):
```
Sr2MnAs3Pt4
1.0
4.4292 0.0000 0.0000
0.0000 4.4292 0.0000
0.0000 0.0000 10.3433
Sr Mn As Pt
2 1 3 4
Direct
0.5000 0.0000 0.2470
0.0000 0.5000 0.7530
0.5000 0.5000 0.5000
0.0000 0.0000 0.5000
0.5000 0.0000 0.8711
0.0000 0.5000 0.1289
0.5000 0.5000 0.0000
0.0000 0.0000 0.0000
0.5000 0.0000 0.6299
0.0000 0.5000 0.3701
```

Computed properties:
Electronic total energy in eV/cell: -57.62

=====

# 17
A relaxed structure of BaNi3Bi, computed with PBE.

Structure (POSCAR):
```
BaNi3Bi
1.0
-3.2801 -2.7703 2.4769
-0.6704 -2.8084 -4.0289
3.6551 -3.0012 1.4838
Ni Bi Ba
3 1 1
Direct
0.0000 0.5000 0.0000
0.0000 0.0000 0.5000
0.5000 0.0000 0.0000
0.0000 0.0000 0.0000
0.5000 0.5000 0.5000
```

Computed properties:
E above lowest polymorph in eV/atom: 0.000

=====

# 18
A relaxed structure of Mn2Se, computed with PBE.

Structure (POSCAR):
```
Mn2Se
1.0
1.6127 0.2186 -4.2560
-4.5320 -0.3110 -0.3556
-0.2933 4.1566 0.1024
Mn Se
4 2
Direct
0.8190 0.4515 0.2500
0.1810 0.5485 0.7500
0.4515 0.8190 0.2500
0.5485 0.1810 0.7500
0.2404 0.2404 0.2500
0.7596 0.7596 0.7500
```

Computed properties:
Raw formation energy in eV/atom: 0.14

=====

# 19
A relaxed structure of Cs2SiAgTe4, computed with PBE.

Structure (POSCAR):
```
Cs2SiAgTe4
1.0
-5.7107 -0.2487 -4.1941
0.1018 -6.1482 -5.7662
-8.4887 -7.8406 6.0309
Cs Si Ag Te
4 2 2 8
Direct
0.1816 0.0000 0.6369
0.8184 0.0000 0.3631
0.5684 0.5000 0.8631
0.9316 0.5000 0.1369
0.2500 0.5000 0.5000
0.5000 0.0000 0.0000
0.7500 0.5000 0.5000
0.0000 0.0000 0.0000
0.3197 0.8123 0.1125
0.2446 0.1877 0.8875
0.8679 0.8123 0.8875
0.5677 0.1877 0.1125
0.4303 0.6877 0.3875
0.5054 0.3123 0.6125
0.8821 0.6877 0.6125
0.1823 0.3123 0.3875
```

Computed properties:
Raw formation energy in eV/atom: -0.51